First-principles (PBE+U) data for an optimized crystal structure of FeAsO4, as listed in Alexandria via LeMat-Bulk.

Values from the calculation:
uncorrected energy = -6.32 eV/atom
D(E_F) = 0.00 states/eV/f.u.

Unit cell a=5.1244 b=8.2727 c=8.0861 alpha=90.00 beta=112.72 gamma=90.00
Last column: nearest neighbours and their distance in Å.
Space group P2_1/c (No. 14)
Asymmetric unit:
Fe 0.0909 0.0411 0.3259 x4  5 O 1.91-2.08
As 0.3450 0.7026 0.5718 x4  4 O 1.71-1.75
O 0.1294 0.6252 0.0222 x4  1 As 1.75
O 0.2334 0.5779 0.3896 x4  1 As 1.71
O 0.3130 0.2349 0.3698 x4  1 As 1.71
O 0.3219 0.6036 0.7507 x4  1 As 1.71